Computed, not measured: a geometry-optimized ScTcOs2 structure at the GGA-PBEsol level of DFT.

formation energy from the elements: 1.33 eV/f.u.
symmetry: Cmm2, No. 35
energy relative to the lowest polymorph listed for this composition: 218 meV/atom
E_tot: -10.24 eV per atom

abc: 2.7200 2.7200 8.8644
angles: 90.00 90.00 113.40
Sites, in units of the cell vectors:
Sc (0.0000, 0.0000, 0.0000)
Tc (0.5000, 0.5000, 0.7410)
Os (0.0000, 0.0000, 0.5025)
Os (0.5000, 0.5000, 0.2515)



Computed, not measured: a geometry-optimized Nd2CdSb4 structure at the GGA-PBEsol level of DFT.

E_form (uncorrected): -0.735 eV per atom
symmetry: P-4m2, No. 115
E_tot: -4.99 eV per atom

abc: 4.3174 4.3174 10.5531
angles: 90.00 90.00 90.00
Sites, in units of the cell vectors:
Nd (0.0000, 0.5000, 0.2374)
Nd (0.5000, 0.0000, 0.7626)
Cd (0.5000, 0.5000, 0.5000)
Sb (0.0000, 0.0000, 0.0000)
Sb (0.0000, 0.5000, 0.6731)
Sb (0.5000, 0.0000, 0.3269)
Sb (0.5000, 0.5000, 0.0000)



Computed, not measured: a geometry-optimized Na8TiAs4 structure at the GGA-PBEsol level of DFT.

formation energy from the elements: -6.65 eV/f.u.
symmetry: Fd-3m, No. 227
E_tot: -3.58 eV per atom

abc: 9.6780 9.6780 9.6780
angles: 60.00 60.00 60.00
Sites, in units of the cell vectors:
Na (0.0000, 0.0000, 0.0000)
Na (0.0000, 0.0000, 0.5000)
Na (0.0000, 0.5000, 0.0000)
Na (0.1555, 0.1555, 0.5945)
Na (0.1555, 0.5945, 0.1555)
Na (0.1555, 0.5945, 0.5945)
Na (0.4055, 0.4055, 0.8445)
Na (0.4055, 0.8445, 0.4055)
Na (0.4055, 0.8445, 0.8445)
Na (0.5000, 0.0000, 0.0000)
Na (0.5945, 0.1555, 0.1555)
Na (0.5945, 0.1555, 0.5945)
Na (0.5945, 0.5945, 0.1555)
Na (0.8445, 0.4055, 0.4055)
Na (0.8445, 0.4055, 0.8445)
Na (0.8445, 0.8445, 0.4055)
Ti (0.1250, 0.1250, 0.1250)
Ti (0.8750, 0.8750, 0.8750)
As (0.1896, 0.7701, 0.7701)
As (0.2299, 0.2299, 0.2299)
As (0.2299, 0.2299, 0.8104)
As (0.2299, 0.8104, 0.2299)
As (0.7701, 0.1896, 0.7701)
As (0.7701, 0.7701, 0.1896)
As (0.7701, 0.7701, 0.7701)
As (0.8104, 0.2299, 0.2299)



Computed, not measured: a geometry-optimized Cs2AgSbBr6 structure at the GGA-PBEsol level of DFT.

E_form (uncorrected): -1.069 eV per atom
symmetry: Fm-3m, No. 225
E_tot: -3.17 eV per atom

abc: 7.8297 7.8297 7.8297
angles: 60.00 60.00 60.00
Sites, in units of the cell vectors:
Cs (0.2500, 0.2500, 0.2500)
Cs (0.7500, 0.7500, 0.7500)
Ag (0.0000, 0.0000, 0.0000)
Sb (0.5000, 0.5000, 0.5000)
Br (0.2485, 0.2485, 0.7515)
Br (0.2485, 0.7515, 0.2485)
Br (0.2485, 0.7515, 0.7515)
Br (0.7515, 0.2485, 0.2485)
Br (0.7515, 0.2485, 0.7515)
Br (0.7515, 0.7515, 0.2485)



Computed, not measured: a geometry-optimized Zr5Au3 structure at the GGA-PBEsol level of DFT.

formation energy from the elements: -3.65 eV/f.u.
symmetry: P6_3/mcm, No. 193
energy relative to the lowest polymorph listed for this composition: 0 meV/atom
E_tot: -7.61 eV per atom

abc: 8.4073 8.4073 5.2637
angles: 90.00 90.00 120.00
Sites, in units of the cell vectors:
Zr (0.0000, 0.2447, 0.2500)
Zr (0.0000, 0.7553, 0.7500)
Zr (0.2447, 0.0000, 0.2500)
Zr (0.2447, 0.2447, 0.7500)
Zr (0.3333, 0.6667, 0.0000)
Zr (0.3333, 0.6667, 0.5000)
Zr (0.6667, 0.3333, 0.0000)
Zr (0.6667, 0.3333, 0.5000)
Zr (0.7553, 0.0000, 0.7500)
Zr (0.7553, 0.7553, 0.2500)
Au (0.0000, 0.3950, 0.7500)
Au (0.0000, 0.6050, 0.2500)
Au (0.3950, 0.0000, 0.7500)
Au (0.3950, 0.3950, 0.2500)
Au (0.6050, 0.0000, 0.2500)
Au (0.6050, 0.6050, 0.7500)



Computed, not measured: a geometry-optimized BiAs2BrF structure at the GGA-PBEsol level of DFT.

E_form (uncorrected): 0.031 eV per atom
symmetry: P4/mmm, No. 123
E_tot: -3.63 eV per atom

abc: 4.3943 4.3943 5.4832
angles: 90.00 90.00 90.00
Sites, in units of the cell vectors:
Bi (0.0000, 0.0000, 0.0000)
As (0.0000, 0.5000, 0.5000)
As (0.5000, 0.0000, 0.5000)
Br (0.5000, 0.5000, 0.0000)
F (0.5000, 0.5000, 0.5000)



Question: Look up the E_tot of the first one.
Answer: -10.24 eV per atom